# 1
RbLaSiTe | the Alexandria database | PBE-GGA | optimized geometry; E = -4.210 eV per atom; volume = 165 Å³/cell; energy relative to the elements, uncorrected = -0.595 eV per atom
1.0
4.281 -2.500 0.000
4.281 2.500 0.000
-1.790 0.000 7.706
Rb La Si Te
1 1 1 1
direct
0.000 0.000 0.000
0.757 0.757 0.429
0.393 0.393 0.288
0.467 0.467 0.637


# 2
PmNd4Dy3Te8 | the Alexandria database | PBE-GGA | optimized geometry; E = -5.287 eV per atom; volume = 496 Å³/cell; energy relative to the elements, uncorrected = -1.365 eV per atom
1.0
4.412 2.547 7.349
-4.412 2.547 7.349
0.000 -5.095 7.349
Pm Nd Dy Te
1 4 3 8
direct
0.000 0.000 0.000
0.000 0.000 0.500
0.000 0.500 0.000
0.500 0.000 0.000
0.500 0.500 0.500
0.000 0.500 0.500
0.500 0.000 0.500
0.500 0.500 0.000
0.249 0.249 0.742
0.249 0.742 0.249
0.254 0.254 0.254
0.258 0.751 0.751
0.742 0.249 0.249
0.746 0.746 0.746
0.751 0.258 0.751
0.751 0.751 0.258


# 3
Ho3Si4Au | the Alexandria database | PBE-GGA | optimized geometry; E = -5.408 eV per atom; volume = 177 Å³/cell; energy relative to the elements, uncorrected = -0.571 eV per atom
1.0
-2.100 2.866 7.344
2.100 -2.866 7.344
2.100 2.866 -7.344
Ho Si Au
3 4 1
direct
0.000 0.000 0.000
0.308 0.808 0.500
0.692 0.192 0.500
0.080 0.376 0.704
0.327 0.624 0.704
0.673 0.376 0.296
0.920 0.624 0.296
0.500 0.500 0.000


# 4
Rb3Tl3RhO8 | the Alexandria database | PBE-GGA | optimized geometry; E = -4.751 eV per atom; volume = 268 Å³/cell; energy relative to the elements, uncorrected = -0.950 eV per atom
1.0
3.441 1.987 6.532
-3.441 1.987 6.532
0.000 -3.973 6.532
Rb Tl Rh O
3 3 1 8
direct
0.000 0.500 0.500
0.500 0.000 0.500
0.500 0.500 0.000
0.000 0.000 0.500
0.000 0.500 0.000
0.500 0.000 0.000
0.500 0.500 0.500
0.228 0.228 0.228
0.266 0.700 0.700
0.300 0.300 0.734
0.300 0.734 0.300
0.700 0.266 0.700
0.700 0.700 0.266
0.734 0.300 0.300
0.772 0.772 0.772


# 5
MgZr2Se | the Alexandria database | PBE-GGA | optimized geometry; E = -5.879 eV per atom; volume = 82 Å³/cell; energy relative to the elements, uncorrected = -0.336 eV per atom
1.0
3.055 -3.972 0.000
3.055 3.972 0.000
-0.046 0.000 3.363
Mg Zr Se
1 2 1
direct
0.000 0.000 0.000
0.000 0.500 0.500
0.500 0.000 0.500
0.500 0.500 0.000


# 6
SrCa3 | the Alexandria database | PBE-GGA | optimized geometry; E = -1.894 eV per atom; DFT formation energy = 0.027 eV/atom; volume = 179 Å³/cell
1.0
3.860 0.000 0.000
0.000 6.408 0.000
-1.082 0.000 7.220
Sr Ca
1 3
direct
0.000 0.000 0.000
0.263 0.500 0.743
0.500 0.000 0.500
0.737 0.500 0.257